(1)
Below is a geometry-optimized POsAuS2 structure, with properties calculated at the GGA-PBEsol level.

E_form (uncorrected) = 1.8441 eV per atom

Lattice parameters (Å, degrees): 4.5583 4.6120 4.6120 90.00 90.00 90.00
Last column: nearest neighbours and their distance in Å.
Fractional positions:
P: 0.5000 0.0000 0.0000  2 Au 2.28
S: 0.0000 0.0000 0.5000  2 Au 2.31
Os: 0.5000 0.5000 0.5000  8 S 3.24, 4 P 3.26
S: 0.0000 0.5000 0.0000  2 Au 2.31
Au: 0.0000 0.0000 0.0000  2 P 2.28, 4 S 2.31

***

(2)
Below is a geometry-optimized Na2NdGeO5 structure, with properties calculated at the GGA-PBEsol level.

E_form (uncorrected) = -2.0375 eV per atom

Lattice parameters (Å, degrees): 6.7197 7.5338 9.4427 90.00 90.00 90.00
Last column: nearest neighbours and their distance in Å.
Fractional positions:
Nd: 0.6283 0.2500 0.4614  8 O 2.38-2.57
O: 0.4065 0.2500 0.2622  1 Ge 1.77
O: 0.8370 0.9324 0.9395  1 Ge 1.76
Ge: 0.8233 0.7500 0.4155  4 O 1.74-1.77
O: 0.8370 0.5676 0.9395  1 Ge 1.76
Ge: 0.6767 0.7500 0.9155  4 O 1.74-1.77
Na: 0.6139 0.5341 0.1886  4 O 2.34-2.59
Na: 0.3861 0.4659 0.8114  4 O 2.34-2.59
O: 0.5175 0.2500 0.9623  1 Ge 1.74
O: 0.7643 0.2500 0.2154  2 Na 2.38, 1 O 2.44, 2 Nd 2.50
O: 0.4825 0.7500 0.0377  1 Ge 1.74
Ge: 0.3233 0.2500 0.0845  4 O 1.74-1.77
Nd: 0.1283 0.7500 0.0386  8 O 2.38-2.57
O: 0.3370 0.4324 0.5605  1 Ge 1.76
O: 0.0175 0.7500 0.5377  1 Ge 1.74
O: 0.6630 0.9324 0.4395  1 Ge 1.76
O: 0.9065 0.7500 0.2378  1 Ge 1.77
Na: 0.6139 0.9659 0.1886  4 O 2.34-2.59
Na: 0.8861 0.5341 0.6886  4 O 2.34-2.59
O: 0.1630 0.4324 0.0605  1 Ge 1.76
O: 0.2357 0.7500 0.7846  2 Na 2.38, 1 O 2.44, 2 Nd 2.50
Na: 0.1139 0.4659 0.3114  4 O 2.34-2.59
Nd: 0.3717 0.7500 0.5386  8 O 2.38-2.57
O: 0.6630 0.5676 0.4395  1 Ge 1.76
O: 0.0935 0.2500 0.7622  1 Ge 1.77
O: 0.2643 0.7500 0.2846  2 Na 2.38, 1 O 2.44, 2 Nd 2.50
O: 0.7357 0.2500 0.7154  2 Na 2.38, 1 O 2.44, 2 Nd 2.50
Na: 0.1139 0.0341 0.3114  4 O 2.34-2.59
Nd: 0.8717 0.2500 0.9614  8 O 2.38-2.57
O: 0.9825 0.2500 0.4623  1 Ge 1.74
Ge: 0.1767 0.2500 0.5845  4 O 1.74-1.77
Na: 0.8861 0.9659 0.6886  4 O 2.34-2.59
O: 0.3370 0.0676 0.5605  1 Ge 1.76
Na: 0.3861 0.0341 0.8114  4 O 2.34-2.59
O: 0.1630 0.0676 0.0605  1 Ge 1.76
O: 0.5935 0.7500 0.7378  1 Ge 1.77

***

(3)
Below is a geometry-optimized CuIr2W structure, with properties calculated at the GGA-PBEsol level.

Energy above the most stable polymorph in this dataset = 0.22 eV per formula unit
Calculated formation energy = 0.29 eV per formula unit

Lattice parameters (Å, degrees): 4.3023 4.3023 4.3023 60.00 60.00 60.00
Last column: nearest neighbours and their distance in Å.
Fractional positions:
W: 0.5000 0.5000 0.5000  8 Ir 2.63
Ir: 0.7500 0.7500 0.7500  4 Cu 2.63, 4 W 2.63
Cu: 0.0000 0.0000 0.0000  8 Ir 2.63
Ir: 0.2500 0.2500 0.2500  4 Cu 2.63, 4 W 2.63

***

(4)
Below is a geometry-optimized Al2TcW structure, with properties calculated at the GGA-PBEsol level.

Energy above the most stable polymorph in this dataset = 0.91 eV per formula unit
Calculated formation energy = -0.27 eV per formula unit

Lattice parameters (Å, degrees): 3.1373 4.2196 4.3961 90.00 90.00 90.00
Last column: nearest neighbours and their distance in Å.
Fractional positions:
Tc: 0.5000 0.5000 0.0000  4 Al 2.63, 4 W 2.70
Al: 0.5000 0.0000 0.5000  4 W 2.63, 4 Al 2.70
W: 0.0000 0.5000 0.5000  4 Al 2.63, 4 Tc 2.70
Al: 0.0000 0.0000 0.0000  4 Tc 2.63, 4 Al 2.70

***

(5)
Below is a geometry-optimized CoHgP2 structure, with properties calculated at the GGA-PBEsol level.

Calculated formation energy = 2.92 eV per formula unit

Lattice parameters (Å, degrees): 4.3948 4.3948 4.3948 60.00 60.00 60.00
Last column: nearest neighbours and their distance in Å.
Fractional positions:
P: 0.0000 0.0000 0.0000  4 Hg 2.69, 4 P 2.69
Hg: 0.7500 0.7500 0.7500  4 P 2.69, 4 Co 2.69
Co: 0.5000 0.5000 0.5000  4 P 2.69, 4 Hg 2.69
P: 0.2500 0.2500 0.2500  4 Co 2.69, 4 P 2.69

***

(6)
Below is a geometry-optimized Be2CuPb structure, with properties calculated at the GGA-PBEsol level.

Calculated formation energy = 1.83 eV per formula unit

Lattice parameters (Å, degrees): 2.9446 2.9446 6.7963 90.00 90.00 90.00
Last column: nearest neighbours and their distance in Å.
Fractional positions:
Cu: 0.0000 0.0000 0.4117  5 Be 2.20-2.36
Be: 0.0000 0.0000 0.0879  1 Cu 2.20, 4 Be 2.35
Be: 0.5000 0.5000 0.2498  4 Be 2.35, 4 Cu 2.36
Pb: 0.5000 0.5000 0.7506  4 Pb 2.94, 4 Be 3.10, 4 Cu 3.10

***

(7)
Below is a geometry-optimized CaY3Fe structure, with properties calculated at the GGA-PBEsol level.

Calculated formation energy = 0.26 eV per formula unit

Lattice parameters (Å, degrees): 5.2460 5.2460 5.2460 90.00 90.00 90.00
Last column: nearest neighbours and their distance in Å.
Fractional positions:
Fe: 0.0000 0.0000 0.0000  6 Y 2.62
Ca: 0.5000 0.5000 0.5000  12 Y 3.71
Y: 0.0000 0.5000 0.0000  2 Fe 2.62
Y: 0.5000 0.0000 0.0000  2 Fe 2.62
Y: 0.0000 0.0000 0.5000  2 Fe 2.62

***

(8)
Below is a geometry-optimized Sc2CuSe structure, with properties calculated at the GGA-PBEsol level.

E_form (uncorrected) = -0.8358 eV per atom

Lattice parameters (Å, degrees): 3.6560 3.6560 6.9199 74.68 74.68 60.00
Last column: nearest neighbours and their distance in Å.
Fractional positions:
Cu: 0.0000 0.0000 0.0000  6 Sc 2.67
Sc: 0.2509 0.2509 0.2473  3 Cu 2.67, 3 Se 2.69
Sc: 0.7491 0.7491 0.7527  3 Cu 2.67, 3 Se 2.69
Se: 0.5000 0.5000 0.5000  6 Sc 2.69